First-principles (PBE) data for crystalline PaNiAs at its relaxed geometry, as listed in OQMD via LeMat-Bulk.

CIF file:
```
data_PaNiAs
_chemical_formula_sum 'Pa1 Ni1 As1'
_cell_length_a 4.033
_cell_length_b 4.033
_cell_length_c 3.883
_cell_angle_alpha 90.00
_cell_angle_beta 90.00
_cell_angle_gamma 120.00
_space_group_name_H-M_alt 'P 1'
_space_group_IT_number 1
loop_
_space_group_symop_operation_xyz
'x,y,z'
loop_
_atom_site_label
_atom_site_fract_x
_atom_site_fract_y
_atom_site_fract_z
As1 0.000 0.000 0.000
Ni1 0.333 0.667 0.000
Pa1 0.667 0.333 0.500
```

Computed properties:
raw total energy	-22.30	eV/cell
symmetry	No. 187
size of the total moment	0.00	Bohr magnetons per cell